1.
Entry from Alexandria: SrLa3Cu4O10 after structural relaxation (PBEsol).

**Volume**: 12.03 Å³/atom
**E_form (uncorrected)**: -2073 meV per atom
**Size of the total moment**: 0.00 μB per formula unit
**E_tot**: -125.018 eV per formula unit
**DOS at the Fermi energy**: 0.233 states/eV per atom
**SG**: Pm (6)

a b c (Å): 3.854 5.373 10.453
angles (deg): 90.25 90.00 90.00
Fractional positions:
Sr 0.500 0.800 0.138
La 0.500 0.197 0.866
La 0.500 0.307 0.356
La 0.500 0.694 0.638
Cu 0.000 0.789 0.392
Cu 0.000 0.209 0.606
Cu 0.000 0.287 0.111
Cu 0.000 0.712 0.892
O 0.500 0.790 0.400
O 0.500 0.212 0.605
O 0.500 0.292 0.104
O 0.500 0.709 0.888
O 0.000 0.502 0.503
O 0.000 0.016 0.989
O 0.000 0.546 0.229
O 0.000 0.437 0.782
O 0.000 0.064 0.286
O 0.000 0.935 0.714

=====

2.
Entry from Alexandria: La2TiCuO6 after structural relaxation (PBEsol).

**Volume**: 12.05 Å³/atom
**E_form (uncorrected)**: -2817 meV per atom
**Size of the total moment**: 1.01 μB per formula unit
**E_tot**: -83.015 eV per formula unit
**DOS at the Fermi energy**: 0.267 states/eV per atom
**SG**: P2_1/c (14)

a b c (Å): 5.538 5.666 7.683
angles (deg): 90.00 89.87 90.00
Last column: magnetic moment on the atom in μB.
Fractional positions:
La 0.491 0.548 0.251  0.00
La 0.009 0.048 0.249  0.00
La 0.509 0.452 0.749  0.00
La 0.991 0.952 0.751  0.00
Ti 0.000 0.500 0.500  0.01
Ti 0.500 0.000 0.000  0.01
Cu 0.000 0.500 0.000  0.60
Cu 0.500 0.000 0.500  0.60
O 0.581 0.978 0.248  0.08
O 0.919 0.478 0.252  0.08
O 0.419 0.022 0.752  0.08
O 0.081 0.522 0.748  0.08
O 0.218 0.804 0.043  0.05
O 0.282 0.304 0.457  0.05
O 0.803 0.217 0.544  0.06
O 0.697 0.717 0.956  0.06
O 0.782 0.196 0.957  0.05
O 0.718 0.696 0.543  0.05
O 0.197 0.783 0.456  0.06
O 0.303 0.283 0.044  0.06

=====

3.
Entry from Alexandria: LaCuW2O8 after structural relaxation (PBEsol).

**Volume**: 13.76 Å³/atom
**E_form (uncorrected)**: -2238 meV per atom
**Size of the total moment**: 0.00 μB per formula unit
**E_tot**: -106.145 eV per formula unit
**SG**: P-1 (2)

a b c (Å): 4.974 6.040 6.323
angles (deg): 108.96 92.55 110.84
Fractional positions:
O 0.510 0.778 0.085
O 0.989 0.247 0.232
O 0.471 0.798 0.520
O 0.022 0.186 0.659
O 0.011 0.753 0.768
O 0.490 0.222 0.915
O 0.529 0.202 0.480
O 0.978 0.814 0.341
Cu 0.500 0.500 0.500
W 0.755 0.022 0.338
W 0.245 0.978 0.662
La 0.000 0.500 0.000

=====

4.
Entry from Alexandria: LaCuOs after structural relaxation (PBEsol).

**Volume**: 20.42 Å³/atom
**Energy relative to the elements**: 1.8 eV per formula unit
**Size of the total moment**: 0.01 μB per formula unit
**E_tot**: -20.134 eV per formula unit
**DOS at the Fermi energy**: 1.589 states/eV per atom
**SG**: F-43m (216)

a b c (Å): 4.425 4.425 4.425
angles (deg): 60.00 60.00 60.00
Fractional positions:
Cu 0.750 0.750 0.750
La 0.000 0.000 0.000
Os 0.500 0.500 0.500

=====

5.
Entry from Alexandria: LaCu2Os after structural relaxation (PBEsol).

**Volume**: 18.60 Å³/atom
**Energy relative to the elements**: 0.7 eV per formula unit
**Size of the total moment**: 0.00 μB per formula unit
**Energy above the most stable polymorph in this dataset**: 0.000 eV per atom
**E_tot**: -25.577 eV per formula unit
**DOS at the Fermi energy**: 0.961 states/eV per atom
**SG**: C2/m (12)

a b c (Å): 4.219 4.240 5.356
angles (deg): 112.75 90.00 119.84
Fractional positions:
Cu 0.803 0.606 0.908
Cu 0.197 0.394 0.092
La 0.000 0.000 0.500
Os 0.500 0.000 0.000

=====

6.
Entry from Alexandria: LaCu2Os after structural relaxation (PBEsol).

**Volume**: 16.41 Å³/atom
**Energy relative to the elements**: 1.3 eV per formula unit
**Size of the total moment**: 0.01 μB per formula unit
**Energy above the most stable polymorph in this dataset**: 0.150 eV per atom
**E_tot**: -24.978 eV per formula unit
**DOS at the Fermi energy**: 1.248 states/eV per atom
**SG**: I4/mmm (139)

a b c (Å): 4.045 4.045 4.927
angles (deg): 114.23 114.23 90.00
Fractional positions:
Cu 0.750 0.250 0.500
Cu 0.250 0.750 0.500
La 0.000 0.000 0.000
Os 0.500 0.500 0.000

=====

7.
Entry from Alexandria: LaCu2Os after structural relaxation (PBEsol).

**Volume**: 16.69 Å³/atom
**Energy relative to the elements**: 1.7 eV per formula unit
**Size of the total moment**: 0.00 μB per formula unit
**Energy above the most stable polymorph in this dataset**: 0.256 eV per atom
**E_tot**: -24.552 eV per formula unit
**DOS at the Fermi energy**: 0.727 states/eV per atom
**SG**: Imm2 (44)

a b c (Å): 3.523 4.524 5.076
angles (deg): 116.46 110.31 90.00
Fractional positions:
Cu 0.010 0.010 0.020
Cu 0.726 0.226 0.453
La 0.495 0.495 0.990
Os 0.269 0.769 0.538

=====

8.
Entry from Alexandria: LaCu2Os after structural relaxation (PBEsol).

**Volume**: 16.93 Å³/atom
**Energy relative to the elements**: 2.0 eV per formula unit
**Size of the total moment**: 0.00 μB per formula unit
**Energy above the most stable polymorph in this dataset**: 0.347 eV per atom
**E_tot**: -24.188 eV per formula unit
**DOS at the Fermi energy**: 0.776 states/eV per atom
**SG**: F-43m (216)

a b c (Å): 4.575 4.575 4.575
angles (deg): 60.00 60.00 60.00
Fractional positions:
Cu 0.000 0.000 0.000
Cu 0.750 0.750 0.750
La 0.500 0.500 0.500
Os 0.250 0.250 0.250

=====

9.
Entry from Alexandria: La2CuP after structural relaxation (PBEsol).

**Volume**: 23.04 Å³/atom
**Energy relative to the elements**: -3.1 eV per formula unit
**Size of the total moment**: 0.00 μB per formula unit
**E_tot**: -23.961 eV per formula unit
**DOS at the Fermi energy**: 0.765 states/eV per atom
**SG**: Amm2 (38)

a b c (Å): 4.021 4.204 5.843
angles (deg): 111.08 90.00 90.00
Fractional positions:
P 0.000 0.558 0.117
Cu 0.500 0.686 0.371
La 0.500 0.984 0.967
La 0.000 0.272 0.545

=====

10.
Entry from Alexandria: LaCu4P2 after structural relaxation (PBEsol).

**Volume**: 14.63 Å³/atom
**Energy relative to the elements**: -4.1 eV per formula unit
**Size of the total moment**: 0.00 μB per formula unit
**E_tot**: -38.316 eV per formula unit
**DOS at the Fermi energy**: 0.220 states/eV per atom
**SG**: Pnnm (58)

a b c (Å): 3.868 10.926 14.542
angles (deg): 90.00 90.00 90.00
Fractional positions:
La 0.000 0.000 0.000
La 0.500 0.500 0.500
La 0.000 0.122 0.728
La 0.000 0.878 0.272
La 0.500 0.378 0.228
La 0.500 0.622 0.772
Cu 0.000 0.400 0.053
Cu 0.000 0.600 0.947
Cu 0.500 0.100 0.553
Cu 0.500 0.900 0.447
Cu 0.000 0.264 0.537
Cu 0.000 0.736 0.463
Cu 0.500 0.236 0.037
Cu 0.500 0.764 0.963
Cu 0.000 0.070 0.438
Cu 0.000 0.930 0.562
Cu 0.500 0.430 0.938
Cu 0.500 0.570 0.062
Cu 0.000 0.576 0.330
Cu 0.000 0.424 0.670
Cu 0.500 0.924 0.830
Cu 0.500 0.076 0.170
Cu 0.000 0.173 0.288
Cu 0.000 0.827 0.712
Cu 0.500 0.327 0.788
Cu 0.500 0.673 0.212
Cu 0.000 0.742 0.086
Cu 0.000 0.258 0.914
Cu 0.500 0.758 0.586
Cu 0.500 0.242 0.414
P 0.000 0.363 0.387
P 0.000 0.637 0.613
P 0.500 0.137 0.887
P 0.500 0.863 0.113
P 0.000 0.206 0.131
P 0.000 0.794 0.869
P 0.500 0.294 0.631
P 0.500 0.706 0.369
P 0.000 0.560 0.163
P 0.000 0.440 0.837
P 0.500 0.940 0.663
P 0.500 0.060 0.337

=====

11.
Entry from Alexandria: LaCuP after structural relaxation (PBEsol).

**Volume**: 19.37 Å³/atom
**Energy relative to the elements**: -3.0 eV per formula unit
**Size of the total moment**: 0.16 μB per formula unit
**E_tot**: -18.515 eV per formula unit
**DOS at the Fermi energy**: 0.981 states/eV per atom
**SG**: P-6m2 (187)

a b c (Å): 4.000 4.000 4.193
angles (deg): 90.00 90.00 120.00
Last column: magnetic moment on the atom in μB.
Fractional positions:
P 0.667 0.333 0.500  0.00
Cu 0.000 0.000 0.500  0.01
La 0.333 0.667 0.000  0.05

=====

12.
Entry from Alexandria: LaCu4P3 after structural relaxation (PBEsol).

**Volume**: 14.84 Å³/atom
**Energy relative to the elements**: -4.2 eV per formula unit
**Size of the total moment**: 0.00 μB per formula unit
**E_tot**: -44.298 eV per formula unit
**DOS at the Fermi energy**: 0.162 states/eV per atom
**SG**: P4/nmm (129)

a b c (Å): 5.733 5.733 7.224
angles (deg): 90.00 90.00 90.00
Fractional positions:
La 0.000 0.500 0.978
La 0.500 0.000 0.022
Cu 0.771 0.729 0.326
Cu 0.229 0.729 0.326
Cu 0.771 0.271 0.326
Cu 0.229 0.271 0.326
Cu 0.729 0.771 0.674
Cu 0.271 0.771 0.674
Cu 0.729 0.229 0.674
Cu 0.271 0.229 0.674
P 0.000 0.000 0.156
P 0.500 0.500 0.156
P 0.500 0.500 0.844
P 0.000 0.000 0.844
P 0.000 0.500 0.530
P 0.500 0.000 0.470

=====

13.
Entry from Alexandria: LaCuPS2 after structural relaxation (PBEsol).

**Volume**: 32.11 Å³/atom
**E_form (uncorrected)**: 656 meV per atom
**Size of the total moment**: 1.26 μB per formula unit
**E_tot**: -20.962 eV per formula unit
**DOS at the Fermi energy**: 1.388 states/eV per atom
**SG**: P4/mmm (123)

a b c (Å): 5.384 5.384 5.538
angles (deg): 90.00 90.00 90.00
Last column: magnetic moment on the atom in μB.
Fractional positions:
P 0.000 0.000 0.500  -0.31
S 0.000 0.500 0.000  -0.15
S 0.500 0.000 0.000  -0.15
Cu 0.500 0.500 0.500  -0.04
La 0.000 0.000 0.000  -0.03

=====

14.
Entry from Alexandria: LaCuPb after structural relaxation (PBEsol).

**Volume**: 24.33 Å³/atom
**Energy relative to the elements**: -1.3 eV per formula unit
**Size of the total moment**: 0.00 μB per formula unit
**E_tot**: -14.975 eV per formula unit
**DOS at the Fermi energy**: 0.091 states/eV per atom
**SG**: P6_3mc (186)

a b c (Å): 4.674 4.674 7.715
angles (deg): 90.00 90.00 120.00
Fractional positions:
La 0.000 0.000 0.494
La 0.000 0.000 0.994
Cu 0.667 0.333 0.184
Cu 0.333 0.667 0.684
Pb 0.667 0.333 0.764
Pb 0.333 0.667 0.264

=====

15.
Entry from Alexandria: LaCuPb2 after structural relaxation (PBEsol).

**Volume**: 25.21 Å³/atom
**Energy relative to the elements**: -0.9 eV per formula unit
**Size of the total moment**: 0.00 μB per formula unit
**Energy above the most stable polymorph in this dataset**: 0.000 eV per atom
**E_tot**: -18.541 eV per formula unit
**DOS at the Fermi energy**: 0.489 states/eV per atom
**SG**: P4/mmm (123)

a b c (Å): 4.589 4.688 4.688
angles (deg): 90.00 90.00 90.00
Fractional positions:
Cu 0.500 0.500 0.500
La 0.500 0.000 0.000
Pb 0.000 0.000 0.500
Pb 0.000 0.500 0.000

=====

16.
Entry from Alexandria: LaCuPb2 after structural relaxation (PBEsol).

**Volume**: 25.40 Å³/atom
**Energy relative to the elements**: -0.6 eV per formula unit
**Size of the total moment**: 0.00 μB per formula unit
**Energy above the most stable polymorph in this dataset**: 0.075 eV per atom
**E_tot**: -18.239 eV per formula unit
**DOS at the Fermi energy**: 0.614 states/eV per atom
**SG**: I-4m2 (119)

a b c (Å): 4.630 4.630 5.761
angles (deg): 113.69 113.69 90.00
Fractional positions:
Cu 0.500 0.500 0.000
La 0.250 0.750 0.500
Pb 0.000 0.000 0.000
Pb 0.750 0.250 0.500

=====

17.
Entry from Alexandria: LaCuPb after structural relaxation (PBEsol).

**Volume**: 24.59 Å³/atom
**Energy relative to the elements**: -1.1 eV per formula unit
**Size of the total moment**: 0.00 μB per formula unit
**E_tot**: -14.773 eV per formula unit
**DOS at the Fermi energy**: 0.823 states/eV per atom
**SG**: P-6m2 (187)

a b c (Å): 3.974 4.630 4.630
angles (deg): 120.00 90.00 90.00
Fractional positions:
Pb 0.166 0.667 0.333
Cu 0.167 0.000 0.000
La 0.667 0.333 0.667

=====

18.
Entry from Alexandria: LaCuPb after structural relaxation (PBEsol).

**Volume**: 24.73 Å³/atom
**Energy relative to the elements**: -1.2 eV per formula unit
**Size of the total moment**: 0.00 μB per formula unit
**E_tot**: -14.909 eV per formula unit
**DOS at the Fermi energy**: 0.212 states/eV per atom
**SG**: P6_3/mmc (194)

a b c (Å): 4.619 4.619 8.029
angles (deg): 90.00 90.00 120.00
Fractional positions:
La 0.000 0.000 0.000
La 0.000 0.000 0.500
Cu 0.333 0.667 0.250
Cu 0.667 0.333 0.750
Pb 0.333 0.667 0.750
Pb 0.667 0.333 0.250

=====

19.
Entry from Alexandria: LaCuPbS3 after structural relaxation (PBEsol).

**Volume**: 21.29 Å³/atom
**E_form (uncorrected)**: -1175 meV per atom
**Size of the total moment**: 0.00 μB per formula unit
**E_tot**: -33.884 eV per formula unit
**SG**: Pnma (62)

a b c (Å): 4.076 7.969 15.729
angles (deg): 90.00 90.00 90.00
Fractional positions:
La 0.750 0.249 0.540
La 0.750 0.749 0.960
La 0.250 0.751 0.460
La 0.250 0.251 0.040
Cu 0.750 0.375 0.870
Cu 0.750 0.875 0.630
Cu 0.250 0.625 0.130
Cu 0.250 0.125 0.370
Pb 0.750 0.412 0.281
Pb 0.750 0.912 0.219
Pb 0.250 0.588 0.719
Pb 0.250 0.088 0.781
S 0.750 0.320 0.722
S 0.750 0.820 0.778
S 0.250 0.680 0.278
S 0.250 0.180 0.222
S 0.750 0.119 0.936
S 0.750 0.619 0.564
S 0.250 0.881 0.064
S 0.250 0.381 0.436
S 0.750 0.491 0.099
S 0.750 0.991 0.401
S 0.250 0.509 0.901
S 0.250 0.009 0.599

=====

20.
Entry from Alexandria: LaCuPd3 after structural relaxation (PBEsol).

**Volume**: 19.50 Å³/atom
**Energy relative to the elements**: -0.8 eV per formula unit
**Size of the total moment**: 0.00 μB per formula unit
**Energy above the most stable polymorph in this dataset**: 0.000 eV per atom
**E_tot**: -28.366 eV per formula unit
**DOS at the Fermi energy**: 0.394 states/eV per atom
**SG**: Pm-3m (221)

a b c (Å): 4.603 4.603 4.603
angles (deg): 90.00 90.00 90.00
Fractional positions:
Cu 0.000 0.000 0.000
Pd 0.000 0.500 0.000
Pd 0.000 0.000 0.500
Pd 0.500 0.000 0.000
La 0.500 0.500 0.500

=====

21.
Entry from Alexandria: LaCuPd3 after structural relaxation (PBEsol).

**Volume**: 25.09 Å³/atom
**Energy relative to the elements**: 5.1 eV per formula unit
**Size of the total moment**: 0.00 μB per formula unit
**Energy above the most stable polymorph in this dataset**: 1.176 eV per atom
**E_tot**: -22.484 eV per formula unit
**DOS at the Fermi energy**: 0.359 states/eV per atom
**SG**: Pm-3m (221)

a b c (Å): 5.006 5.006 5.006
angles (deg): 90.00 90.00 90.00
Fractional positions:
Cu 0.500 0.500 0.500
Pd 0.000 0.500 0.000
Pd 0.000 0.000 0.500
Pd 0.500 0.000 0.000
La 0.000 0.000 0.000

=====

22.
Entry from Alexandria: La2CuPdRu after structural relaxation (PBEsol).

**Volume**: 25.15 Å³/atom
**Energy relative to the elements**: 2.3 eV per formula unit
**Size of the total moment**: 0.00 μB per formula unit
**E_tot**: -28.902 eV per formula unit
**DOS at the Fermi energy**: 0.967 states/eV per atom
**SG**: P4/mmm (123)

a b c (Å): 4.402 5.344 5.344
angles (deg): 90.00 90.00 90.00
Fractional positions:
Ru 0.500 0.000 0.000
Cu 0.000 0.000 0.000
Pd 0.500 0.500 0.500
La 0.000 0.000 0.500
La 0.000 0.500 0.000

=====

23.
Entry from Alexandria: La3CuPt after structural relaxation (PBEsol).

**Volume**: 34.87 Å³/atom
**Energy relative to the elements**: 0.2 eV per formula unit
**Size of the total moment**: 0.00 μB per formula unit
**E_tot**: -27.126 eV per formula unit
**DOS at the Fermi energy**: 1.657 states/eV per atom
**SG**: Pm-3m (221)

a b c (Å): 5.587 5.587 5.587
angles (deg): 90.00 90.00 90.00
Fractional positions:
Cu 0.500 0.500 0.500
Pt 0.000 0.000 0.000
La 0.000 0.500 0.000
La 0.000 0.000 0.500
La 0.500 0.000 0.000

=====

24.
Entry from Alexandria: La2CuPt after structural relaxation (PBEsol).

**Volume**: 23.29 Å³/atom
**Energy relative to the elements**: -2.1 eV per formula unit
**Size of the total moment**: 0.00 μB per formula unit
**E_tot**: -24.128 eV per formula unit
**DOS at the Fermi energy**: 1.003 states/eV per atom
**SG**: P4/mmm (123)

a b c (Å): 3.609 3.610 7.149
angles (deg): 89.95 90.00 90.00
Fractional positions:
Cu 0.500 0.500 0.000
Pt 0.500 0.500 0.500
La 0.000 0.000 0.747
La 0.000 0.000 0.253